1.
Material: LiErNp2S6
Method: DFT, PBE
State: optimized geometry

Geometry as extended XYZ:
```
10
Lattice="6.6053 0.0000 0.0000 0.0000 6.1326 0.0000 0.0000 0.0000 6.1326" Properties=species:S:1:pos:R:3 pbc="T T T"
Li 3.5455 0.0000 0.0000
Er 3.7386 3.0663 3.0663
Np 6.5538 3.0663 0.0000
Np 6.5538 0.0000 3.0663
S 4.9794 1.4733 1.4733
S 4.9794 1.4733 4.6593
S 1.1177 3.0663 3.0663
S 1.1555 0.0000 0.0000
S 4.9794 4.6593 4.6593
S 4.9794 4.6593 1.4733
```

Properties
- Volume: 24.84 Å³/atom
- Formation energy without anion corrections: -1.109 eV/atom
- Electronic total energy: -6.821 eV per atom

***

2.
Material: Li3Er2NpS6
Method: DFT, PBE
State: optimized geometry

Geometry as extended XYZ:
```
12
Lattice="6.7705 -0.0010 0.0016 -3.3844 5.8639 0.0016 -1.1282 -1.9534 6.1630" Properties=species:S:1:pos:R:3 pbc="T T T"
Li -2.2351 3.8976 3.0831
Li 4.4930 0.0119 3.0831
Li 1.1290 1.9548 3.0831
Er 0.0025 3.9078 0.0016
Er 3.3836 1.9551 0.0016
Np 0.0000 0.0000 0.0000
S 3.4042 1.9248 4.6223
S 2.2399 3.8784 1.5489
S -1.1463 1.9847 1.5440
S -0.0341 3.9105 4.6223
S 0.0180 0.0311 4.6173
S 2.2920 -0.0010 1.5440
```

Properties
- Volume: 20.39 Å³/atom
- Formation energy without anion corrections: -1.671 eV/atom
- Electronic total energy: -6.052 eV per atom

***

3.
Material: Li3ErNp2S6
Method: DFT, PBE
State: optimized geometry

Geometry as extended XYZ:
```
12
Lattice="6.7789 -0.0007 0.0005 -3.3884 5.8713 0.0005 -1.1308 -1.9580 6.1518" Properties=species:S:1:pos:R:3 pbc="T T T"
Li -2.2780 3.9245 3.0764
Li 4.5377 -0.0119 3.0764
Li 1.1298 1.9563 3.0764
Er 0.0000 0.0000 0.0000
Np -0.0004 3.9146 0.0005
Np 3.3909 1.9560 0.0005
S 3.3816 1.9679 4.6042
S 2.2677 3.9266 1.5491
S -1.1219 1.9447 1.5486
S 0.0146 3.9125 4.6042
S -0.0081 -0.0139 4.6038
S 2.2451 0.0001 1.5486
```

Properties
- Volume: 20.40 Å³/atom
- Formation energy without anion corrections: -1.512 eV/atom
- Electronic total energy: -6.591 eV per atom

***

4.
Material: Li3Er3NpSe8
Method: DFT, PBE
State: optimized geometry

Geometry as extended XYZ:
```
15
Lattice="8.1263 0.0000 0.0000 -4.0632 7.0366 -0.0266 0.0000 -4.6708 6.5075" Properties=species:S:1:pos:R:3 pbc="T T T"
Li 0.0000 0.0000 0.0000
Li -2.0316 3.5183 -0.0133
Li 2.0316 3.5183 -0.0133
Er 4.0632 -2.3354 3.2538
Er 2.0316 1.1829 3.2405
Er -2.0316 1.1829 3.2405
Np 0.0000 -2.3354 3.2538
Se 0.0000 2.3494 1.6070
Se 4.0632 0.0164 4.8739
Se 4.0632 2.3620 1.6318
Se 0.0000 0.0038 4.8491
Se 6.1056 -1.1752 1.6451
Se -2.0425 3.5410 4.8358
Se 2.0207 -1.1752 1.6451
Se 2.0425 3.5410 4.8358
```

Properties
- Volume: 24.74 Å³/atom
- Formation energy without anion corrections: -1.550 eV/atom
- Electronic total energy: -5.567 eV per atom

***

5.
Material: Li3ErNp3Se8
Method: DFT, PBE
State: optimized geometry

Geometry as extended XYZ:
```
15
Lattice="9.4687 0.0000 0.0000 -4.7343 4.2714 -3.2242 0.0000 -11.3300 17.3773" Properties=species:S:1:pos:R:3 pbc="T T T"
Li 0.0000 0.0000 0.0000
Li -2.3672 2.1357 -1.6121
Li 2.3672 2.1357 -1.6121
Er 0.0000 -5.6650 8.6887
Np 4.7343 -5.6650 8.6887
Np 2.3672 -3.5293 7.0766
Np -2.3672 -3.5293 7.0766
Se 4.7343 -0.2042 2.5269
Se 0.0000 -6.8544 11.6263
Se 4.7343 -6.6418 11.6114
Se 0.0000 -0.4168 2.5418
Se 7.0187 -2.4209 4.1455
Se -2.2843 -4.6377 10.0077
Se 2.4500 -2.4209 4.1455
Se 2.2843 -4.6377 10.0077
```

Properties
- Volume: 23.80 Å³/atom
- Formation energy without anion corrections: -1.120 eV/atom
- Electronic total energy: -6.253 eV per atom

***

6.
Material: Li3Er2NpSe6
Method: DFT, PBE
State: optimized geometry

Geometry as extended XYZ:
```
12
Lattice="-2.7548 0.4587 -6.4724 6.4704 -2.6515 0.8910 -3.7604 -5.2155 2.5083" Properties=species:S:1:pos:R:3 pbc="T T T"
Li 3.0427 -4.7375 0.9099
Li -3.0874 -2.6709 -3.9830
Li -0.0224 -3.7042 -1.5365
Er 3.3880 -1.6123 -1.5693
Er 0.3276 -0.5806 -4.0120
Np 0.0000 0.0000 0.0000
Se -1.6019 -5.0050 -3.5395
Se 1.8130 -2.9622 -3.5226
Se 1.5571 -2.4034 0.4664
Se 1.5278 -6.0601 -1.0414
Se -1.8577 -4.4461 0.4495
Se -1.5726 -1.3483 -2.0316
```

Properties
- Volume: 23.29 Å³/atom
- Formation energy without anion corrections: -1.512 eV/atom
- Electronic total energy: -5.572 eV per atom

***

7.
Material: Li4Er3NpSe8
Method: DFT, PBE
State: optimized geometry

Geometry as extended XYZ:
```
16
Lattice="8.1222 0.0000 0.0000 0.0000 8.0122 -0.0848 -4.0611 -4.0559 5.7473" Properties=species:S:1:pos:R:3 pbc="T T T"
Li 4.0611 0.0000 0.0000
Li 2.0305 -2.0280 2.8736
Li 0.0000 0.0000 0.0000
Li -2.0305 -2.0280 2.8736
Er 4.0611 4.0061 -0.0424
Er 2.0305 1.9782 2.8312
Er -2.0305 1.9782 2.8312
Np 0.0000 4.0061 -0.0424
Se -1.9987 1.9815 5.6808
Se 0.0000 3.9776 2.8524
Se 0.0000 -0.0310 2.8482
Se 1.9987 1.9815 5.6808
Se 2.0624 1.9749 -0.0184
Se 4.0611 3.9873 2.8142
Se 4.0611 -0.0212 2.8100
Se 6.0598 1.9749 -0.0184
```

Properties
- Volume: 23.20 Å³/atom
- Formation energy without anion corrections: -1.557 eV/atom
- Electronic total energy: -5.442 eV per atom

***

8.
Material: LiErNpSe3
Method: DFT, PBE
State: optimized geometry

Geometry as extended XYZ:
```
12
Lattice="3.9662 0.0000 0.0000 0.0000 8.3792 0.0875 0.0000 -2.1209 8.5119" Properties=species:S:1:pos:R:3 pbc="T T T"
Li 0.9915 -0.5089 4.9477
Li 2.9746 6.7673 3.6518
Er 0.9915 5.2314 1.4646
Er 2.9746 1.0269 7.1349
Np 0.9915 1.0311 1.8678
Np 2.9746 5.2272 6.7317
Se 2.9746 7.2671 1.2197
Se 0.9915 -1.0088 7.3797
Se 0.9915 5.4183 4.3545
Se 2.9746 0.8400 4.2450
Se 2.9746 3.2226 1.4900
Se 0.9915 3.0357 7.1094
```

Properties
- Volume: 23.63 Å³/atom
- Formation energy without anion corrections: -1.362 eV/atom
- Electronic total energy: -6.340 eV per atom

***

Calculated density / g/cm³: 5.619, 5.325, 5.795, 6.225, 7.122, 6.334, 6.255, 7.589